(1)
The following is a DFT calculation (PBE) of a relaxed BeTc2Ge crystal.

Output
The calculation puts the density of states at the Fermi level at 1.10 states/eV per atom. As for the symmetry: Fm-3m. The volume comes out at 12.9 Å³ per atom. The energy above the most stable polymorph in this dataset is 0.000 eV/atom.

The structure in POSCAR format:
```
BeTc2Ge
1.0
5.9148 0.0000 0.0000
0.0000 5.9148 0.0000
0.0000 0.0000 5.9148
Be Tc Ge
4 8 4
direct
0.0000 0.0000 0.0000
0.0000 0.5000 0.5000
0.5000 0.0000 0.5000
0.5000 0.5000 0.0000
0.2500 0.2500 0.2500
0.2500 0.2500 0.7500
0.2500 0.7500 0.2500
0.2500 0.7500 0.7500
0.7500 0.2500 0.2500
0.7500 0.2500 0.7500
0.7500 0.7500 0.2500
0.7500 0.7500 0.7500
0.0000 0.0000 0.5000
0.0000 0.5000 0.0000
0.5000 0.0000 0.0000
0.5000 0.5000 0.5000
```


(2)
The following is a DFT calculation (PBE) of a relaxed Na5Be4P4 crystal.

Output
The calculation puts the density of states at the Fermi level at 0.17 states/eV per atom. As for the symmetry: I4/m. The volume comes out at 17.3 Å³ per atom. Its energy is -47.17 eV/cell.

The structure in POSCAR format:
```
Na5Be4P4
1.0
-5.5030 5.5030 1.8531
5.5030 -5.5030 1.8531
5.5030 5.5030 -1.8531
Na Be P
5 4 4
direct
0.0000 0.0000 0.0000
0.2998 0.6402 0.9400
0.3598 0.2998 0.6596
0.6402 0.7002 0.3404
0.7002 0.3598 0.0600
0.1040 0.4251 0.5291
0.4251 0.8960 0.3211
0.5749 0.1040 0.6789
0.8960 0.5749 0.4709
0.0429 0.7053 0.7482
0.2947 0.0429 0.3376
0.7053 0.9571 0.6624
0.9571 0.2947 0.2518
```


(3)
The following is a DFT calculation (PBE) of a relaxed Ac2PtPb crystal.

Output
The calculation puts the density of states at the Fermi level at 0.49 states/eV per atom. As for the symmetry: Cmcm. The volume comes out at 34.3 Å³ per atom. Its energy is -84.63 eV/cell.

The structure in POSCAR format:
```
Ac2PtPb
1.0
4.6724 0.0000 0.0000
0.0000 25.7554 0.0000
0.0000 0.0000 4.5637
Ac Pt Pb
8 4 4
direct
0.0000 0.0756 0.2500
0.0000 0.3058 0.2500
0.0000 0.6942 0.7500
0.0000 0.9244 0.7500
0.5000 0.1942 0.7500
0.5000 0.4244 0.7500
0.5000 0.5756 0.2500
0.5000 0.8058 0.2500
0.0000 0.1904 0.2500
0.0000 0.8096 0.7500
0.5000 0.3096 0.7500
0.5000 0.6904 0.2500
0.0000 0.4580 0.2500
0.0000 0.5420 0.7500
0.5000 0.0420 0.7500
0.5000 0.9580 0.2500
```


(4)
The following is a DFT calculation (PBE) of a relaxed Pr3Tm5Sc2 crystal.

Output
The calculation puts the density of states at the Fermi level at 1.48 states/eV per atom. As for the symmetry: P-1. The volume comes out at 30.9 Å³ per atom. Its energy is -97.02 eV/cell.

The structure in POSCAR format:
```
Pr3Tm5Sc2
1.0
8.6980 0.0000 0.0000
-2.0846 8.6445 0.0000
-4.3207 -3.3041 8.2230
Pr Tm Sc
6 10 4
direct
0.0651 0.1698 0.4593
0.1780 0.1934 0.1501
0.2572 0.5585 0.0526
0.7428 0.4415 0.9474
0.8220 0.8066 0.8499
0.9349 0.8302 0.5407
0.0652 0.5104 0.3559
0.1301 0.8371 0.2459
0.3127 0.2193 0.8572
0.3771 0.5798 0.7438
0.4303 0.9583 0.6550
0.5697 0.0417 0.3450
0.6229 0.4202 0.2562
0.6873 0.7807 0.1428
0.8699 0.1629 0.7541
0.9348 0.4896 0.6441
0.2862 0.8808 0.9367
0.4923 0.6649 0.4501
0.5077 0.3351 0.5499
0.7138 0.1192 0.0633
```


(5)
The following is a DFT calculation (PBE) of a relaxed BiH2W crystal.

Output
The calculation puts the density of states at the Fermi level at 0.53 states/eV per atom. As for the symmetry: I-42d. The volume comes out at 12.6 Å³ per atom. The energy above the most stable polymorph in this dataset is 0.000 eV/atom.

The structure in POSCAR format:
```
BiH2W
1.0
5.7857 0.0000 0.0000
0.0000 5.7857 0.0000
0.0000 0.0000 6.0452
Bi H W
4 8 4
direct
0.0000 0.0000 0.0000
0.0000 0.5000 0.2500
0.5000 0.0000 0.7500
0.5000 0.5000 0.5000
0.1433 0.7500 0.6250
0.2500 0.1433 0.3750
0.2500 0.3567 0.8750
0.3567 0.7500 0.1250
0.6433 0.2500 0.1250
0.7500 0.6433 0.8750
0.7500 0.8567 0.3750
0.8567 0.2500 0.6250
0.0000 0.0000 0.5000
0.0000 0.5000 0.7500
0.5000 0.0000 0.2500
0.5000 0.5000 0.0000
```


(6)
The following is a DFT calculation (PBE) of a relaxed Cs3Li2Cl3F2 crystal.

Output
The calculation puts the density of states at the Fermi level at 0.00 states/eV per atom. As for the symmetry: I4/mmm. For the formation energy (no corrections), the calculation gives -2.162 eV per atom. The volume comes out at 28.1 Å³ per atom.

The structure in POSCAR format:
```
Cs3Li2Cl3F2
1.0
-2.3284 2.3284 12.9422
2.3284 -2.3284 12.9422
2.3284 2.3284 -12.9422
Cs Li Cl F
3 2 3 2
direct
0.0000 0.0000 0.0000
0.3557 0.3557 0.0000
0.6443 0.6443 0.0000
0.2295 0.2295 0.0000
0.7705 0.7705 0.0000
0.1363 0.1363 0.0000
0.5000 0.5000 0.0000
0.8637 0.8637 0.0000
0.2500 0.7500 0.5000
0.7500 0.2500 0.5000
```


(7)
The following is a DFT calculation (PBE) of a relaxed Hf2FePtC crystal.

Output
The calculation puts the density of states at the Fermi level at 0.76 states/eV per atom. As for the symmetry: P4/mmm. The volume comes out at 15.1 Å³ per atom. Its energy is -46.99 eV/cell.

The structure in POSCAR format:
```
Hf2FePtC
1.0
4.5146 0.0000 0.0000
0.0000 4.5146 0.0000
0.0000 0.0000 3.7022
Hf Fe Pt C
2 1 1 1
direct
0.0000 0.5000 0.0000
0.5000 0.0000 0.0000
0.0000 0.0000 0.5000
0.5000 0.5000 0.5000
0.0000 0.0000 0.0000
```


(8)
The following is a DFT calculation (PBE) of a relaxed SbMoPdI2 crystal.

Output
The calculation puts the density of states at the Fermi level at 1.19 states/eV per atom. As for the symmetry: P4/mmm. For the formation energy (no corrections), the calculation gives 0.835 eV per atom. The volume comes out at 32.3 Å³ per atom. The energy above the most stable polymorph in this dataset is 0.000 eV/atom.

The structure in POSCAR format:
```
SbMoPdI2
1.0
5.5671 0.0000 0.0000
0.0000 5.5671 0.0000
0.0000 0.0000 5.2183
Sb Mo Pd I
1 1 1 2
direct
0.0000 0.0000 0.0000
0.0000 0.0000 0.5000
0.5000 0.5000 0.0000
0.0000 0.5000 0.5000
0.5000 0.0000 0.5000
```


(9)
The following is a DFT calculation (PBE) of a relaxed Ba3Au crystal.

Output
The calculation puts the density of states at the Fermi level at 1.19 states/eV per atom. As for the symmetry: Pmmn. The volume comes out at 50.7 Å³ per atom. Its energy is -20.74 eV/cell.

The structure in POSCAR format:
```
Ba3Au
1.0
4.4146 0.0000 0.0000
0.0000 8.1702 0.0000
0.0000 0.0000 11.2544
Ba Au
6 2
direct
0.2500 0.0066 0.1709
0.2500 0.2500 0.5271
0.2500 0.4934 0.1709
0.7500 0.5066 0.8291
0.7500 0.7500 0.4729
0.7500 0.9934 0.8291
0.2500 0.7500 0.6900
0.7500 0.2500 0.3100
```


(10)
The following is a DFT calculation (PBE) of a relaxed TmHfZr2 crystal.

Output
The calculation puts the density of states at the Fermi level at 1.42 states/eV per atom. As for the symmetry: P2/c. The volume comes out at 24.4 Å³ per atom. The energy above the most stable polymorph in this dataset is 0.027 eV/atom.

The structure in POSCAR format:
```
TmHfZr2
1.0
5.6411 0.0000 0.0000
0.0000 6.5132 0.0000
-1.8731 0.0000 10.6176
Tm Hf Zr
4 4 8
direct
0.1311 0.1290 0.1251
0.1311 0.8710 0.6251
0.8689 0.1290 0.3749
0.8689 0.8710 0.8749
0.3853 0.1357 0.8730
0.3853 0.8643 0.3730
0.6147 0.1357 0.6270
0.6147 0.8643 0.1270
0.1306 0.3729 0.6325
0.1306 0.6271 0.1325
0.3813 0.3862 0.3792
0.3813 0.6138 0.8792
0.6187 0.3862 0.1208
0.6187 0.6138 0.6208
0.8694 0.3729 0.8675
0.8694 0.6271 0.3675
```


(11)
The following is a DFT calculation (PBE) of a relaxed NaGa2Pb crystal.

Output
The calculation puts the density of states at the Fermi level at 0.43 states/eV per atom. As for the symmetry: P4/mmm. The volume comes out at 25.0 Å³ per atom. Its energy is -11.00 eV/cell.

The structure in POSCAR format:
```
NaGa2Pb
1.0
3.8949 0.0000 0.0000
0.0000 3.8949 0.0000
0.0000 0.0000 6.5897
Na Ga Pb
1 2 1
direct
0.0000 0.0000 0.0000
0.5000 0.5000 0.2595
0.5000 0.5000 0.7405
0.0000 0.0000 0.5000
```


(12)
The following is a DFT calculation (PBE) of a relaxed LaPmCdAg crystal.

Output
The calculation puts the density of states at the Fermi level at 1.01 states/eV per atom. As for the symmetry: F-43m. The volume comes out at 28.2 Å³ per atom. The energy above the most stable polymorph in this dataset is 0.013 eV/atom.

The structure in POSCAR format:
```
LaPmCdAg
1.0
7.6716 0.0000 0.0000
0.0000 7.6716 0.0000
0.0000 0.0000 7.6716
La Pm Cd Ag
4 4 4 4
direct
0.0000 0.0000 0.0000
0.0000 0.5000 0.5000
0.5000 0.0000 0.5000
0.5000 0.5000 0.0000
0.0000 0.0000 0.5000
0.0000 0.5000 0.0000
0.5000 0.0000 0.0000
0.5000 0.5000 0.5000
0.2500 0.2500 0.7500
0.2500 0.7500 0.2500
0.7500 0.2500 0.2500
0.7500 0.7500 0.7500
0.2500 0.2500 0.2500
0.2500 0.7500 0.7500
0.7500 0.2500 0.7500
0.7500 0.7500 0.2500
```